# GGA-PBEsol Ba2AlO, relaxed
data_Ba2AlO
_symmetry_space_group_name_H-M 'F m -3 m'
_symmetry_Int_Tables_number 225
_symmetry_space_group_name_Hall '-F 4 2 3'
_cell_length_a 7.683
_cell_length_b 7.683
_cell_length_c 7.683
_cell_angle_alpha 90.00
_cell_angle_beta 90.00
_cell_angle_gamma 90.00
loop_
_atom_site_label
_atom_site_type_symbol
_atom_site_fract_x
_atom_site_fract_y
_atom_site_fract_z
Ba1 Ba 0.250 0.250 0.250
Al1 Al 0.000 0.000 0.000
O1 O 0.000 0.000 0.500
# Uncorrected energy = -3.710 eV/atom